The following is a DFT calculation (PBE-GGA) of an optimized crystal structure of TbSmErN3.

Properties
The formation energy without anion corrections is -1.448 eV/atom. The value obtained for the density is 9.28 g cm⁻³.

```
TbSmErN3
1.0
3.4817 0.0000 0.0000
0.0000 6.0045 0.3144
0.0000 -2.2764 8.7539
Tb Sm Er N
2 2 2 6
Cartesian
0.8704 4.5136 0.6404
2.6113 -0.7854 8.4280
2.6113 2.3436 6.3063
0.8704 1.3846 2.7620
0.8704 -0.5535 5.6371
2.6113 4.2817 3.4313
0.8704 3.4030 4.5580
2.6113 -0.1383 1.3838
2.6113 2.8502 1.6663
2.6113 0.3252 4.5104
0.8704 0.8780 7.4020
0.8704 3.8665 7.6846
```